Record 1
# AcSbO4 PBE-GGA relaxed
# Formation energy without anion corrections = -2.316 eV/atom
# Calculated total energy = -6.993 eV/atom
data_AcSbO4
_space_group_name_H-M_alt 'I 41/a'
_space_group_IT_number 88
_cell_length_a 5.579
_cell_length_b 5.579
_cell_length_c 12.201
_cell_angle_alpha 90.00
_cell_angle_beta 90.00
_cell_angle_gamma 90.00
loop_
_space_group_symop_operation_xyz
'x,y,z'
'-x,-y,-z'
'-y+3/4,x+1/4,z+1/4'
'y+3/4,-x+1/4,-z+1/4'
'-x+1/2,-y,z+1/2'
'x+1/2,y,-z+1/2'
'y+3/4,-x+3/4,z+3/4'
'-y+3/4,x+3/4,-z+3/4'
'x+1/2,y+1/2,z+1/2'
'-x+1/2,-y+1/2,-z+1/2'
'-y+1/4,x+3/4,z+3/4'
'y+1/4,-x+3/4,-z+3/4'
'-x,-y+1/2,z'
'x,y+1/2,-z'
'y+1/4,-x+1/4,z+1/4'
'-y+1/4,x+1/4,-z+1/4'
loop_
_atom_site_label
_atom_site_type_symbol
_atom_site_fract_x
_atom_site_fract_y
_atom_site_fract_z
_atom_site_occupancy
Ac1 Ac 0.000 0.250 0.125 1
Sb1 Sb 0.000 0.250 0.625 1
O1 O 0.156 0.004 0.708 1

***

Record 2
# AcLaPd4 PBE-GGA relaxed
# Excess energy over the best structure of this formula in the dataset = 0.000 eV per atom
# Calculated total energy = -5.762 eV/atom
# Calculated formation energy = -0.794 eV/atom
data_AcLaPd4
_space_group_name_H-M_alt 'C m c m'
_space_group_IT_number 63
_space_group_name_Hall '-C 2c 2'
_cell_length_a 4.380
_cell_length_b 20.531
_cell_length_c 5.976
_cell_angle_alpha 90.00
_cell_angle_beta 90.00
_cell_angle_gamma 90.00
loop_
_atom_site_label
_atom_site_type_symbol
_atom_site_fract_x
_atom_site_fract_y
_atom_site_fract_z
_atom_site_occupancy
Ac1 Ac 0.000 0.220 0.250 1
La1 La 0.000 0.075 0.750 1
Pd1 Pd 0.000 0.070 0.250 1
Pd2 Pd 0.000 0.358 0.512 1
Pd3 Pd 0.000 0.500 0.000 1

***

Record 3
# Rb2VCl2 PBE-GGA relaxed
# Formation energy without anion corrections = -0.389 eV/atom
# Excess energy over the best structure of this formula in the dataset = 0.098 eV per atom
# Calculated total energy = -3.339 eV/atom
data_Rb2VCl2
_space_group_name_H-M_alt 'I 4/m m m'
_space_group_IT_number 139
_space_group_name_Hall '-I 4 2'
_cell_length_a 6.133
_cell_length_b 6.133
_cell_length_c 12.485
_cell_angle_alpha 90.00
_cell_angle_beta 90.00
_cell_angle_gamma 90.00
loop_
_atom_site_label
_atom_site_type_symbol
_atom_site_fract_x
_atom_site_fract_y
_atom_site_fract_z
_atom_site_occupancy
Rb1 Rb 0.000 0.000 0.179 1
V1 V 0.000 0.000 0.500 1
Cl1 Cl 0.000 0.500 0.250 1

***

Record 4
# Pm2Sn6Hg PBE-GGA relaxed
# Calculated total energy = -3.978 eV/atom
# Calculated formation energy = -0.220 eV/atom
data_Pm2Sn6Hg
_space_group_name_H-M_alt 'C 1 m 1'
_space_group_IT_number 8
_cell_length_a 15.979
_cell_length_b 8.721
_cell_length_c 4.444
_cell_angle_alpha 90.00
_cell_angle_beta 106.09
_cell_angle_gamma 90.00
loop_
_space_group_symop_operation_xyz
'x,y,z'
'x,-y,z'
'x+1/2,y+1/2,z'
'x+1/2,-y+1/2,z'
loop_
_atom_site_label
_atom_site_type_symbol
_atom_site_fract_x
_atom_site_fract_y
_atom_site_fract_z
_atom_site_occupancy
Pm1 Pm 0.000 0.000 0.000 1
Pm2 Pm 0.239 0.500 0.737 1
Sn1 Sn 0.061 0.289 0.560 1
Sn2 Sn 0.179 0.211 0.178 1
Sn3 Sn 0.370 0.324 0.368 1
Hg1 Hg 0.370 0.000 0.366 1

***

Record 5
# UHPb PBE-GGA relaxed
# Excess energy over the best structure of this formula in the dataset = 0.183 eV per atom
# Calculated total energy = -5.875 eV/atom
data_UHPb
_space_group_name_H-M_alt 'C 1 m 1'
_space_group_IT_number 8
_cell_length_a 9.083
_cell_length_b 8.071
_cell_length_c 3.248
_cell_angle_alpha 90.00
_cell_angle_beta 110.47
_cell_angle_gamma 90.00
loop_
_space_group_symop_operation_xyz
'x,y,z'
'x,-y,z'
'x+1/2,y+1/2,z'
'x+1/2,-y+1/2,z'
loop_
_atom_site_label
_atom_site_type_symbol
_atom_site_fract_x
_atom_site_fract_y
_atom_site_fract_z
_atom_site_occupancy
U1 U 0.000 0.155 0.000 1
H1 H 0.155 0.207 0.652 1
Pb1 Pb 0.200 0.500 0.205 1
Pb2 Pb 0.354 0.000 0.359 1

***

Record 6
# Ac6Sb3Se2S PBE-GGA relaxed
# Formation energy without anion corrections = -1.565 eV/atom
# Calculated total energy = -5.574 eV/atom
data_Ac6Sb3Se2S
_space_group_name_H-M_alt 'C 1 2/m 1'
_space_group_IT_number 12
_cell_length_a 20.059
_cell_length_b 4.638
_cell_length_c 9.178
_cell_angle_alpha 90.00
_cell_angle_beta 102.53
_cell_angle_gamma 90.00
loop_
_space_group_symop_operation_xyz
'x,y,z'
'-x,-y,-z'
'-x,y,-z'
'x,-y,z'
'x+1/2,y+1/2,z'
'-x+1/2,-y+1/2,-z'
'-x+1/2,y+1/2,-z'
'x+1/2,-y+1/2,z'
loop_
_atom_site_label
_atom_site_type_symbol
_atom_site_fract_x
_atom_site_fract_y
_atom_site_fract_z
_atom_site_occupancy
Ac1 Ac 0.001 0.000 0.237 1
Ac2 Ac 0.161 0.500 0.086 1
Ac3 Ac 0.168 0.500 0.579 1
Sb1 Sb 0.000 0.500 0.500 1
Sb2 Sb 0.168 0.000 0.834 1
Se1 Se 0.166 0.000 0.333 1
S1 S 0.000 0.500 0.000 1

***

Record 7
# Sr2ZnCd3Hg4 PBE-GGA relaxed
# Calculated total energy = -1.131 eV/atom
# Calculated formation energy = -0.272 eV/atom
data_Sr2ZnCd3Hg4
_space_group_name_H-M_alt 'P -4 m 2'
_space_group_IT_number 115
_cell_length_a 4.613
_cell_length_b 4.613
_cell_length_c 12.718
_cell_angle_alpha 90.00
_cell_angle_beta 90.00
_cell_angle_gamma 90.00
loop_
_space_group_symop_operation_xyz
'x,y,z'
'y,-x,-z'
'-x,-y,z'
'-y,x,-z'
'-x,y,z'
'-y,-x,-z'
'x,-y,z'
'y,x,-z'
loop_
_atom_site_label
_atom_site_type_symbol
_atom_site_fract_x
_atom_site_fract_y
_atom_site_fract_z
_atom_site_occupancy
Sr1 Sr 0.000 0.500 0.242 1
Zn1 Zn 0.500 0.500 0.000 1
Cd1 Cd 0.000 0.000 0.000 1
Cd2 Cd 0.000 0.500 0.644 1
Hg1 Hg 0.000 0.000 0.500 1
Hg2 Hg 0.000 0.500 0.865 1
Hg3 Hg 0.500 0.500 0.500 1

***

Record 8
# LaPrAgIr PBE-GGA relaxed
# Calculated total energy = -5.782 eV/atom
# Calculated formation energy = -0.427 eV/atom
data_LaPrAgIr
_space_group_name_H-M_alt 'F -4 3 m'
_space_group_IT_number 216
_space_group_name_Hall 'F -4 2 3'
_cell_length_a 7.352
_cell_length_b 7.352
_cell_length_c 7.352
_cell_angle_alpha 90.00
_cell_angle_beta 90.00
_cell_angle_gamma 90.00
loop_
_atom_site_label
_atom_site_type_symbol
_atom_site_fract_x
_atom_site_fract_y
_atom_site_fract_z
_atom_site_occupancy
La1 La 0.000 0.000 0.000 1
Pr1 Pr 0.000 0.000 0.500 1
Ag1 Ag 0.250 0.250 0.750 1
Ir1 Ir 0.250 0.250 0.250 1